The following is a GGA-PBE calculation of a relaxed structure of SrCeAsP, from Alexandria via LeMat-Bulk.

Calculated values
As for the crystal system: trigonal. For the total energy, the calculation gives -22.864 eV for the cell shown. Its formation energy is -1.2972 eV/atom. Its theoretical density is 4.980 Mg/m³.

a b c (Å): 7.446 7.446 7.446
angles (deg): 33.37 33.37 33.37
Atoms (fractional coordinates):
Sr 0.000 0.000 0.000
Ce 0.495 0.495 0.495
As 0.238 0.238 0.238
P 0.759 0.759 0.759